# 1
A plane-wave DFT calculation with PBE was carried out for a relaxed Sr2LiMgAu2 crystal.

For the calculated formation energy, the calculation gives -0.59 eV/atom. The electronic total energy comes out at -17.00 eV per formula unit. As for the crystal system: monoclinic. For the spin magnetization, the calculation gives 0.00 Bohr magnetons per cell.

Cell lengths 17.2401, 6.3159, 6.3147 Å; angles 90.00, 111.38, 90.00 degrees
With the nearest neighbours (Å) after each atom.
Space group C2/c (No. 15)
One atom of each set of equivalent atoms:
Sr 0.1722 0.2384 0.1722 x8  5 Au 3.29-3.48, 2 Li 3.52, 2 Mg 3.58-3.59
Li 0.0000 0.0000 0.2500 x4  4 Au 2.88-2.89, 2 Li 3.16, 2 Mg 3.16
Mg 0.0000 0.5000 0.2500 x4  4 Au 2.82-2.83, 2 Mg 3.16, 2 Li 3.16
Au 0.1108 0.2589 0.6108 x8  2 Mg 2.82-2.83, 2 Li 2.88-2.89



# 2
A plane-wave DFT calculation with PBE was carried out for a relaxed ZnAg2Sb crystal.

The electronic total energy comes out at -10.76 eV per formula unit. As for the crystal system: tetragonal. The formation energy from raw total energies is 85 meV/atom. For the spin magnetization, the calculation gives 0.00 Bohr magnetons per cell.

Cell lengths 4.2396, 4.2396, 8.6830 Å; angles 90.00, 90.00, 90.00 degrees
With the nearest neighbours (Å) after each atom.
Space group I-4m2 (No. 119)
One atom of each set of equivalent atoms:
Zn 0.0000 0.0000 0.0000 x2  8 Ag 3.00-3.03, 4 Sb 3.03
Ag 0.0000 0.0000 0.5000 x2  4 Zn 3.00, 4 Sb 3.03, 4 Ag 3.03
Ag 0.0000 0.5000 0.2500 x2  4 Sb 3.00, 4 Zn 3.03, 4 Ag 3.03
Sb 0.0000 0.5000 0.7500 x2  8 Ag 3.00-3.03, 4 Zn 3.03



# 3
A plane-wave DFT calculation with PBE was carried out for a relaxed PrSn3Rh3 crystal.

For the calculated formation energy, the calculation gives -0.11 eV/atom. The electronic total energy comes out at -39.62 eV per formula unit. As for the crystal system: cubic. For the spin magnetization, the calculation gives 0.00 Bohr magnetons per cell.

Cell lengths 7.1636, 7.1636, 7.1636 Å; angles 90.00, 90.00, 90.00 degrees
With the nearest neighbours (Å) after each atom.
Space group Pm-3n (No. 223)
One atom of each set of equivalent atoms:
Pr 0.0000 0.0000 0.0000 x2  12 Sn 4.00, 12 Rh 4.00
Sn 0.0000 0.2500 0.5000 x6  4 Rh 2.53
Rh 0.0000 0.5000 0.2500 x6  4 Sn 2.53